Record 1
Here is crystalline Sr3HoPa3As8 at its relaxed geometry from the Alexandria database. Energies are from PBE-GGA.

It has space group R-3m (No. 166, hexagonal axes), with a = 8.4317 Å, b = 8.4317 Å, c = 21.4305 Å, α = 90.00°, β = 90.00° and γ = 120.00°. The distinct sites, in fractional coordinates, are Sr at (0.0000, 0.5000, 0.0000), Ho at (0.0000, 0.0000, 0.5000), Pa at (0.0000, 0.5000, 0.5000), As at (0.0000, 0.0000, 0.2400) and As at (0.0120, 0.5060, 0.7623).

The volume comes out at 29.32 Å³/atom. For the total energy, the calculation gives -6.0919 eV/atom. The crystal system is trigonal.

Record 2
Here is crystalline Ca8MgZn2 at its relaxed geometry from the Alexandria database. Energies are from PBE-GGA.

It has space group C2/m (No. 12), with a = 18.420 Å, b = 3.968 Å, c = 10.630 Å, α = 90.00°, β = 101.22° and γ = 90.00°. The distinct sites, in fractional coordinates, are Ca at (0.029, 0.000, 0.186), Ca at (0.143, 0.000, 0.690), Ca at (0.161, 0.500, 0.003), Ca at (0.172, 0.500, 0.402), Mg at (0.000, 0.500, 0.500) and Zn at (0.226, 0.000, 0.220).

The volume comes out at 34.64 Å³/atom. For the total energy, the calculation gives -1.9010 eV/atom. The crystal system is monoclinic.

Record 3
Here is crystalline Te2IrRuN at its relaxed geometry from the Alexandria database. Energies are from PBE-GGA.

It has space group P4/mmm (No. 123), with a = 5.263 Å, b = 5.263 Å, c = 3.575 Å, α = 90.00°, β = 90.00° and γ = 90.00°. The distinct sites, in fractional coordinates, are Te at (0.000, 0.500, 0.000), Ir at (0.000, 0.000, 0.500), Ru at (0.500, 0.500, 0.000) and N at (0.500, 0.500, 0.500).

The value obtained for the energy above the most stable polymorph in this dataset is 0.0 meV/atom. The volume comes out at 19.81 Å³/atom. For the total energy, the calculation gives -5.8359 eV/atom. The crystal system is tetragonal. As for the uncorrected formation energy: 713 meV/atom.

Copy entry 3 word for word.
Here is crystalline Te2IrRuN at its relaxed geometry from the Alexandria database. Energies are from PBE-GGA.

It has space group P4/mmm (No. 123), with a = 5.263 Å, b = 5.263 Å, c = 3.575 Å, α = 90.00°, β = 90.00° and γ = 90.00°. The distinct sites, in fractional coordinates, are Te at (0.000, 0.500, 0.000), Ir at (0.000, 0.000, 0.500), Ru at (0.500, 0.500, 0.000) and N at (0.500, 0.500, 0.500).

The value obtained for the energy above the most stable polymorph in this dataset is 0.0 meV/atom. The volume comes out at 19.81 Å³/atom. For the total energy, the calculation gives -5.8359 eV/atom. The crystal system is tetragonal. As for the uncorrected formation energy: 713 meV/atom.

Repeat the third record exactly.
Here is crystalline Te2IrRuN at its relaxed geometry from the Alexandria database. Energies are from PBE-GGA.

It has space group P4/mmm (No. 123), with a = 5.263 Å, b = 5.263 Å, c = 3.575 Å, α = 90.00°, β = 90.00° and γ = 90.00°. The distinct sites, in fractional coordinates, are Te at (0.000, 0.500, 0.000), Ir at (0.000, 0.000, 0.500), Ru at (0.500, 0.500, 0.000) and N at (0.500, 0.500, 0.500).

The value obtained for the energy above the most stable polymorph in this dataset is 0.0 meV/atom. The volume comes out at 19.81 Å³/atom. For the total energy, the calculation gives -5.8359 eV/atom. The crystal system is tetragonal. As for the uncorrected formation energy: 713 meV/atom.